Entry from Alexandria: Pr3Ni4Ge2 after structural relaxation (PBE-GGA).

Geometry as CIF:
```
data_Pr3Ni4Ge2
_symmetry_space_group_name_H-M 'C 1 2/m 1'
_symmetry_Int_Tables_number 12
_symmetry_space_group_name_Hall '-C 2y'
_cell_length_a 10.932
_cell_length_b 4.088
_cell_length_c 8.324
_cell_angle_alpha 90.00
_cell_angle_beta 102.41
_cell_angle_gamma 90.00
loop_
_atom_site_label
_atom_site_type_symbol
_atom_site_fract_x
_atom_site_fract_y
_atom_site_fract_z
Pr1 Pr 0.000 0.000 0.000
Pr2 Pr 0.163 0.500 0.671
Ni1 Ni 0.055 0.000 0.389
Ni2 Ni 0.223 0.500 0.060
Ge1 Ge 0.113 0.500 0.282
```

* formation enthalpy at 0 K: -4.745 eV/f.u.
* total magnetic moment: 0.0 Bohr magnetons per cell
* total energy: -0.420 Ry/atom


Entry from Alexandria: NbMo2As2 after structural relaxation (PBE-GGA).

Geometry as CIF:
```
data_NbMo2As2
_symmetry_space_group_name_H-M 'I 4/m m m'
_symmetry_Int_Tables_number 139
_symmetry_space_group_name_Hall '-I 4 2'
_cell_length_a 4.364
_cell_length_b 4.364
_cell_length_c 9.365
_cell_angle_alpha 90.00
_cell_angle_beta 90.00
_cell_angle_gamma 90.00
loop_
_atom_site_label
_atom_site_type_symbol
_atom_site_fract_x
_atom_site_fract_y
_atom_site_fract_z
Nb1 Nb 0.000 0.000 0.000
Mo1 Mo 0.000 0.500 0.250
As1 As 0.000 0.000 0.373
```

* formation enthalpy at 0 K: 1.240 eV/f.u.
* total magnetic moment: 0.0 Bohr magnetons per cell
* total energy: -0.585 Ry/atom


Entry from Alexandria: LaMg2NbGa after structural relaxation (PBE-GGA).

Geometry as CIF:
```
data_LaMg2NbGa
_symmetry_space_group_name_H-M 'P 4/m m m'
_symmetry_Int_Tables_number 123
_symmetry_space_group_name_Hall '-P 4 2'
_cell_length_a 5.464
_cell_length_b 5.464
_cell_length_c 5.266
_cell_angle_alpha 90.00
_cell_angle_beta 90.00
_cell_angle_gamma 90.00
loop_
_atom_site_label
_atom_site_type_symbol
_atom_site_fract_x
_atom_site_fract_y
_atom_site_fract_z
La1 La 0.000 0.000 0.000
Mg1 Mg 0.000 0.500 0.000
Nb1 Nb 0.500 0.500 0.500
Ga1 Ga 0.000 0.000 0.500
```

* formation enthalpy at 0 K: 8.727 eV/f.u.
* total magnetic moment: 0.0 Bohr magnetons per cell
* total energy: -0.184 Ry/atom